The following is a DFT calculation (GGA-PBE) of a relaxed structure of Pm3Sm4Y4.

```
data_Pm3Sm4Y4
_space_group_name_H-M_alt 'A m m 2'
_space_group_IT_number 38
_space_group_name_Hall 'A 2 -2'
_cell_length_a 10.691
_cell_length_b 5.759
_cell_length_c 12.159
_cell_angle_alpha 90.00
_cell_angle_beta 90.00
_cell_angle_gamma 90.00
loop_
_atom_site_label
_atom_site_type_symbol
_atom_site_fract_x
_atom_site_fract_y
_atom_site_fract_z
Pm1 Pm 0.000 0.000 0.000
Pm2 Pm 0.295 0.000 0.150
Sm1 Sm 0.000 0.000 0.705
Sm2 Sm 0.210 0.000 0.502
Sm3 Sm 0.500 0.000 0.629
Y1 Y 0.000 0.000 0.300
Y2 Y 0.297 0.000 0.846
Y3 Y 0.500 0.000 0.359
```

Values from the calculation:
E_tot	-114.7	eV for the cell shown
D(E_F)	17.57	states/eV/f.u.
energy relative to the elements	3.42	kcal/mol of atoms

=====

The following is a DFT calculation (GGA-PBE) of a relaxed structure of Pm12SmY6.

```
data_Pm12SmY6
_space_group_name_H-M_alt 'R -3'
_space_group_IT_number 148
_space_group_name_Hall '-R 3'
_cell_length_a 12.1876
_cell_length_b 12.1876
_cell_length_c 15.2603
_cell_angle_alpha 90.00
_cell_angle_beta 90.00
_cell_angle_gamma 120.00
loop_
_atom_site_label
_atom_site_type_symbol
_atom_site_fract_x
_atom_site_fract_y
_atom_site_fract_z
Pm1 Pm 0.0064 0.8317 0.1922
Pm2 Pm 0.0462 0.8505 0.4168
Sm1 Sm 0.0000 0.0000 0.0000
Y1 Y 0.0132 0.4255 0.6859
```

Values from the calculation:
E_tot	-293.7	eV for the cell shown
D(E_F)	33.01	states/eV/f.u.
energy relative to the elements	3.16	kcal/mol of atoms